(1)
First-principles (PBE) data for crystalline NdDyGa2Ru2 at its relaxed geometry, as listed in Alexandria.

```
6
Lattice="4.3405 0.0000 0.0000 -2.1702 3.7589 0.0000 0.0000 0.0000 7.5562" Properties=species:S:1:pos:R:3 pbc="T T T"
Nd 0.0000 0.0000 0.0000
Dy 0.0000 0.0000 3.7781
Ga 0.0000 2.5060 2.0161
Ga 2.1702 1.2530 5.5401
Ru 0.0000 2.5060 5.5631
Ru 2.1702 1.2530 1.9931
```

(2)
First-principles (PBE) data for crystalline NdDyGaRu at its relaxed geometry, as listed in Alexandria.

```
4
Lattice="0.0000 3.5500 3.5500 3.5500 0.0000 3.5500 3.5500 3.5500 0.0000" Properties=species:S:1:pos:R:3 pbc="T T T"
Nd 0.0000 0.0000 0.0000
Dy 3.5500 3.5500 3.5500
Ga 1.7750 1.7750 1.7750
Ru 5.3250 5.3250 5.3250
```

(3)
First-principles (PBE) data for crystalline NdDyGaRu at its relaxed geometry, as listed in Alexandria.

```
4
Lattice="4.3394 0.0000 0.0000 0.0000 2.0153 5.4080 0.0000 -2.0153 5.4080" Properties=species:S:1:pos:R:3 pbc="T T T"
Nd 0.0000 0.0000 0.0000
Dy 2.1697 0.0000 7.7495
Ga 2.1697 0.0000 4.5184
Ru 0.0000 0.0000 3.0937
```

(4)
First-principles (PBE) data for crystalline NdDyScGa at its relaxed geometry, as listed in Alexandria.

```
4
Lattice="0.0000 3.7257 3.7257 3.7257 0.0000 3.7257 3.7257 3.7257 0.0000" Properties=species:S:1:pos:R:3 pbc="T T T"
Nd 0.0000 0.0000 0.0000
Dy 3.7257 3.7257 3.7257
Sc 1.8629 1.8629 1.8629
Ga 5.5886 5.5886 5.5886
```

(5)
First-principles (PBE) data for crystalline NdDyTlGa at its relaxed geometry, as listed in Alexandria.

```
4
Lattice="3.6873 0.0000 0.0000 0.0000 3.6873 0.0000 0.0000 0.0000 7.7102" Properties=species:S:1:pos:R:3 pbc="T T T"
Nd 0.0000 0.0000 0.0000
Dy 0.0000 0.0000 3.5932
Tl 1.8437 1.8437 5.5607
Ga 1.8437 1.8437 1.8838
```

(6)
First-principles (PBE) data for crystalline NdDyTlGa at its relaxed geometry, as listed in Alexandria.

```
4
Lattice="0.0000 3.7538 3.7538 3.7538 0.0000 3.7538 3.7538 3.7538 0.0000" Properties=species:S:1:pos:R:3 pbc="T T T"
Nd 0.0000 0.0000 0.0000
Dy 3.7538 3.7538 3.7538
Tl 5.6307 5.6307 5.6307
Ga 1.8769 1.8769 1.8769
```

(7)
First-principles (PBE) data for crystalline NdDyZnGa at its relaxed geometry, as listed in Alexandria.

```
4
Lattice="0.0000 3.6374 3.6374 3.6374 0.0000 3.6374 3.6374 3.6374 0.0000" Properties=species:S:1:pos:R:3 pbc="T T T"
Nd 0.0000 0.0000 0.0000
Dy 3.6374 3.6374 3.6374
Zn 1.8187 1.8187 1.8187
Ga 5.4561 5.4561 5.4561
```

(8)
First-principles (PBE) data for crystalline DyGa2Ni3 at its relaxed geometry, as listed in Alexandria.

```
12
Lattice="4.5985 -3.8607 0.0000 4.5985 3.8607 0.0000 0.0000 0.0000 5.1819" Properties=species:S:1:pos:R:3 pbc="T T T"
Dy 4.5985 2.4503 3.8864
Dy 4.5985 -2.4503 1.2955
Ga 2.5487 0.0000 0.0000
Ga 2.5487 0.0000 2.5910
Ga 6.6482 0.0000 0.0000
Ga 6.6482 0.0000 2.5910
Ni 3.1595 2.1828 1.2955
Ni 6.0374 2.1828 1.2955
Ni 4.5985 0.3033 1.2955
Ni 4.5985 -0.3033 3.8864
Ni 3.1595 -2.1828 3.8864
Ni 6.0374 -2.1828 3.8864
```

Calculated values (meV per atom) of energy relative to the elements for the records, taken in order: -456, -367, -432, -144, -466, -433, -455, -459.